Density functional theory data (PBE-GGA) for crystalline CaNd6Tl4 at its relaxed geometry.

CIF file:
```
data_CaNd6Tl4
_symmetry_space_group_name_H-M 'I -4 2 m'
_symmetry_Int_Tables_number 121
_symmetry_space_group_name_Hall 'I -4 2'
_cell_length_a 8.019
_cell_length_b 8.019
_cell_length_c 12.210
_cell_angle_alpha 90.00
_cell_angle_beta 90.00
_cell_angle_gamma 90.00
loop_
_atom_site_label
_atom_site_type_symbol
_atom_site_fract_x
_atom_site_fract_y
_atom_site_fract_z
Ca1 Ca 0.000 0.000 0.000
Nd1 Nd 0.000 0.500 0.000
Nd2 Nd 0.189 0.189 0.711
Tl1 Tl 0.168 0.168 0.428
```

E_tot = -3.74 eV/atom
calculated formation energy = -0.101 eV/atom
Fermi-level density of states = 11.3 states/eV/f.u.

Density functional theory data (PBE-GGA) for crystalline AgPb2F8 at its relaxed geometry.

CIF file:
```
data_AgPb2F8
_symmetry_space_group_name_H-M 'P -3'
_symmetry_Int_Tables_number 147
_symmetry_space_group_name_Hall '-P 3'
_cell_length_a 7.1232
_cell_length_b 7.1232
_cell_length_c 4.5364
_cell_angle_alpha 90.00
_cell_angle_beta 90.00
_cell_angle_gamma 120.00
loop_
_atom_site_label
_atom_site_type_symbol
_atom_site_fract_x
_atom_site_fract_y
_atom_site_fract_z
Ag1 Ag 0.0000 0.0000 0.0000
Pb1 Pb 0.3333 0.6667 0.2600
F1 F 0.1588 0.8393 0.2384
F2 F 0.3333 0.6667 0.7588
```

E_tot = -4.04 eV/atom
Fermi-level density of states = 1.9 states/eV/f.u.
uncorrected formation energy = -1750 meV per atom